Below is a relaxed HfCr2NiP crystal, with properties calculated at the PBE level.

a b c (Å): 4.818 4.818 4.479
angles (deg): 90.00 90.00 90.00
Space group P4/mmm (No. 123)
Unique sites:
Hf 0.000 0.000 0.000 [1 per cell]
Cr 0.000 0.500 0.000 [2 per cell]
Ni 0.000 0.000 0.500 [1 per cell]
P 0.500 0.500 0.500 [1 per cell]

DOS at the Fermi energy (states/eV/cell): 4.447
Size of the total moment (μB per formula unit): 6.7
Formation energy from the elements (eV per atom): 1.70


Below is a relaxed HfCrReNi crystal, with properties calculated at the PBE level.

a b c (Å): 3.114 3.114 6.007
angles (deg): 90.00 90.00 90.00
Space group P4mm (No. 99)
Unique sites:
Hf 0.000 0.000 0.000 [1 per cell]
Cr 0.500 0.500 0.286 [1 per cell]
Re 0.000 0.000 0.498 [1 per cell]
Ni 0.500 0.500 0.752 [1 per cell]

DOS at the Fermi energy (states/eV/cell): 3.897
Size of the total moment (μB per formula unit): 0.0
Formation energy from the elements (eV per atom): -0.05
Distance to the lowest polymorph of the same formula (eV per atom): 0.016


> Among the records above, which one has the lowest formation energy from the elements?

HfCrReNi


> What is the formation energy from the elements in the first record?

1.70 eV per atom